Material: ZnCdPd
Method: DFT, PBE
State: relaxed

Summary:
Formation energy from the elements, eV per atom: -0.1812
Magnetization, Bohr magnetons per cell: 0.000
Electronic total energy, eV per cell: -7.93
Offset from the most stable computed form, meV per atom: 149

Cell lengths 4.4009, 4.4009, 4.4009 Å; angles 60.00, 60.00, 60.00 degrees
Fractional positions:
Pd (0.2500, 0.2500, 0.2500)
Cd (0.5000, 0.5000, 0.5000)
Zn (0.0000, 0.0000, 0.0000)

---

Material: Zr2FeOs3
Method: DFT, PBE
State: relaxed

Summary:
Formation energy from the elements, eV per atom: -0.3623
Magnetization, Bohr magnetons per cell: 1.522
Electronic total energy, eV per cell: -61.42

Cell lengths 5.2406, 5.2406, 5.1270 Å; angles 90.09, 120.74, 119.90 degrees
Site moments in Bohr magnetons follow the coordinates.
Fractional positions:
Os (0.0000, 0.0000, 0.5000)  -0.06
Zr (0.7499, 0.3749, 0.1248)  -0.07
Os (0.5000, 0.5000, 0.5000)  -0.06
Zr (0.2501, 0.6251, 0.8752)  -0.07
Fe (0.0000, 0.0000, 0.0000)  1.92
Os (0.5000, 0.0000, 0.5000)  -0.05

---

Material: LiGe2ICl
Method: DFT, PBE
State: relaxed

Summary:
Magnetization, Bohr magnetons per cell: 0.000
Electronic total energy, eV per cell: -13.31
Uncorrected formation energy, eV/f.u.: 1.237

Cell lengths 5.0085, 4.9992, 5.0085 Å; angles 90.00, 90.00, 90.00 degrees
Fractional positions:
Ge (0.5000, 0.0000, 0.0000)
I (0.0000, 0.5000, 0.0000)
Ge (0.0000, 0.0000, 0.5000)
Cl (0.5000, 0.5000, 0.5000)
Li (0.0000, 0.0000, 0.0000)

---

Material: TaTe2PbN
Method: DFT, PBE
State: relaxed

Summary:
Magnetization, Bohr magnetons per cell: 0.239
Electronic total energy, eV per cell: -16.75
Uncorrected formation energy, eV/f.u.: 13.418
Offset from the most stable computed form, meV per atom: 2768

Cell lengths 5.7593, 5.4252, 5.7593 Å; angles 90.00, 90.00, 90.00 degrees
Site moments in Bohr magnetons follow the coordinates.
Fractional positions:
Te (0.5000, 0.0000, 0.0000)  0.03
Pb (0.0000, 0.0000, 0.0000)  -0.01
Ta (0.0000, 0.5000, 0.0000)  0.15
N (0.5000, 0.5000, 0.5000)  -0.31
Te (0.0000, 0.0000, 0.5000)  0.00

---

Material: Nd3Ag2Pt
Method: DFT, PBE
State: relaxed

Summary:
Formation energy from the elements, eV per atom: -0.4105
Magnetization, Bohr magnetons per cell: 0.000
Electronic total energy, eV per cell: -57.02
Offset from the most stable computed form, meV per atom: 125

Cell lengths 6.0724, 8.2899, 7.7886 Å; angles 105.46, 112.94, 90.00 degrees
Fractional positions:
Nd (0.1472, 0.5738, 0.2930)
Nd (0.4993, 0.7500, 0.0000)
Ag (0.3222, 0.4117, 0.6459)
Pt (0.0007, 0.2500, 0.0000)
Nd (0.1457, 0.0738, 0.2930)
Ag (0.6778, 0.5883, 0.3541)
Nd (0.5007, 0.2500, 0.0000)
Ag (0.6762, 0.0883, 0.3541)
Nd (0.8543, 0.9262, 0.7070)
Ag (0.3238, 0.9117, 0.6459)
Pt (0.9993, 0.7500, 0.0000)
Nd (0.8528, 0.4262, 0.7070)

---

Material: Na4Ga2W
Method: DFT, PBE
State: relaxed

Summary:
Formation energy from the elements, eV per atom: 1.0538
Magnetization, Bohr magnetons per cell: 5.044
Electronic total energy, eV per cell: -16.91

Cell lengths 5.8877, 5.8877, 8.4324 Å; angles 69.57, 69.57, 90.00 degrees
Site moments in Bohr magnetons follow the coordinates.
Fractional positions:
Ga (0.5852, 0.5852, 0.8297)  -0.03
Na (0.0000, 0.5000, 0.0000)  0.02
Na (0.5000, 0.0000, 0.0000)  0.02
W (0.0000, 0.0000, 0.0000)  3.36
Ga (0.4148, 0.4148, 0.1703)  -0.03
Na (0.7866, 0.7866, 0.4269)  0.01
Na (0.2134, 0.2134, 0.5731)  0.01

---

Material: SbOs
Method: DFT, PBE
State: relaxed

Summary:
Magnetization, Bohr magnetons per cell: 0.000
Electronic total energy, eV per cell: -26.80
Uncorrected formation energy, eV/f.u.: 1.953

Cell lengths 4.2611, 4.2611, 6.6256 Å; angles 90.00, 90.00, 120.00 degrees
Fractional positions:
Os (0.6667, 0.3333, 0.2347)
Sb (0.6667, 0.3333, 0.8473)
Sb (0.3333, 0.6667, 0.3473)
Os (0.3333, 0.6667, 0.7347)

---

Material: AcGe3Rh3
Method: DFT, PBE
State: relaxed

Summary:
Formation energy from the elements, eV per atom: -0.4774
Magnetization, Bohr magnetons per cell: 0.000
Electronic total energy, eV per cell: -86.71
Offset from the most stable computed form, meV per atom: 0

Cell lengths 6.8945, 6.8945, 8.3250 Å; angles 65.54, 65.54, 60.00 degrees
Fractional positions:
Ge (0.1987, 0.6445, 0.2892)
Ac (0.6720, 0.6720, 0.9839)
Rh (0.7688, 0.0787, 0.6288)
Rh (0.0787, 0.5237, 0.6288)
Rh (0.9213, 0.4763, 0.3712)
Ge (0.8675, 0.1987, 0.2892)
Ge (0.1325, 0.8013, 0.7108)
Ge (0.8013, 0.3555, 0.7108)
Ge (0.3555, 0.1325, 0.7108)
Rh (0.4763, 0.2312, 0.3712)
Rh (0.2312, 0.9213, 0.3712)
Ge (0.6445, 0.8675, 0.2892)
Ac (0.3280, 0.3280, 0.0161)
Rh (0.5237, 0.7688, 0.6288)

---

Material: NbInIN2
Method: DFT, PBE
State: relaxed

Summary:
Magnetization, Bohr magnetons per cell: 1.082
Electronic total energy, eV per cell: -22.35
Uncorrected formation energy, eV/f.u.: 8.660
Offset from the most stable computed form, meV per atom: 1269

Cell lengths 4.2693, 4.2693, 5.8883 Å; angles 90.00, 90.00, 90.00 degrees
Site moments in Bohr magnetons follow the coordinates.
Fractional positions:
I (0.0000, 0.0000, 0.5000)  -0.02
Nb (0.5000, 0.5000, 0.5000)  2.65
In (0.0000, 0.0000, 0.0000)  0.02
N (0.5000, 0.0000, 0.0000)  -0.80
N (0.0000, 0.5000, 0.0000)  -0.80

---

Material: DyGaCo2C
Method: DFT, PBE
State: relaxed

Summary:
Formation energy from the elements, eV per atom: -0.3865
Magnetization, Bohr magnetons per cell: 0.000
Electronic total energy, eV per cell: -65.99

Cell lengths 3.8034, 5.6248, 6.9003 Å; angles 90.00, 90.00, 109.76 degrees
Fractional positions:
Co (0.8396, 0.6792, 0.4406)
Ga (0.2709, 0.5417, 0.2500)
Co (0.1604, 0.3208, 0.5594)
Co (0.1604, 0.3208, 0.9406)
Co (0.8396, 0.6792, 0.0594)
Dy (0.5508, 0.1016, 0.2500)
C (0.0000, 0.0000, 0.5000)
C (0.0000, 0.0000, 0.0000)
Dy (0.4492, 0.8984, 0.7500)
Ga (0.7291, 0.4583, 0.7500)

---

Material: TmAg4Pb
Method: DFT, PBE
State: relaxed

Summary:
Formation energy from the elements, eV per atom: -0.1303
Magnetization, Bohr magnetons per cell: 0.000
Electronic total energy, eV per cell: -20.37
Offset from the most stable computed form, meV per atom: 0

Cell lengths 4.8755, 4.8755, 6.2900 Å; angles 90.00, 90.00, 120.00 degrees
Fractional positions:
Tm (0.0000, 0.0000, 0.0000)
Ag (0.3333, 0.6667, 0.2366)
Pb (0.0000, 0.0000, 0.5000)
Ag (0.6667, 0.3333, 0.2366)
Ag (0.6667, 0.3333, 0.7634)
Ag (0.3333, 0.6667, 0.7634)

---

Material: Y4TmIr5
Method: DFT, PBE
State: relaxed

Summary:
Formation energy from the elements, eV per atom: -0.7996
Magnetization, Bohr magnetons per cell: 0.000
Electronic total energy, eV per cell: -82.63

Cell lengths 3.3480, 3.3480, 17.8727 Å; angles 90.00, 90.00, 90.00 degrees
Fractional positions:
Ir (0.5000, 0.5000, 0.0962)
Y (0.0000, 0.0000, 0.6007)
Y (0.0000, 0.0000, 0.3993)
Y (0.0000, 0.0000, 0.1981)
Y (0.0000, 0.0000, 0.8019)
Ir (0.5000, 0.5000, 0.2985)
Ir (0.5000, 0.5000, 0.5000)
Tm (0.0000, 0.0000, 0.0000)
Ir (0.5000, 0.5000, 0.7015)
Ir (0.5000, 0.5000, 0.9038)